Run w
Below is an optimized crystal structure of CsMg2Cu, with properties calculated at the PBE-GGA level.

Summary:
* N(E_F): 1.512 states/eV/cell
* symmetry: No. 225

```
4
Lattice="0.0000 3.9367 3.9367 3.9367 0.0000 3.9367 3.9367 3.9367 0.0000" Properties=species:S:1:pos:R:3 pbc="T T T"
Cs 0.0000 0.0000 0.0000
Mg 1.9684 1.9684 1.9684
Mg 5.9051 5.9051 5.9051
Cu 3.9367 3.9367 3.9367
```


Run x
Below is an optimized crystal structure of CsMg2Cu, with properties calculated at the PBE-GGA level.

Summary:
* N(E_F): 0.546 states/eV/cell
* symmetry: No. 141

```
8
Lattice="-3.3439 3.3439 7.4705 3.3439 -3.3439 7.4705 3.3439 3.3439 -7.4705" Properties=species:S:1:pos:R:3 pbc="T T T"
Cs 3.3439 1.6719 1.8676
Cs 0.0000 1.6719 5.6029
Mg 0.0000 0.0000 0.0000
Mg 1.6719 1.6719 -3.7352
Mg 1.6719 -1.6719 3.7352
Mg 0.0000 3.3439 0.0000
Cu 3.3439 -1.6719 5.6029
Cu 0.0000 5.0158 1.8676
```


Which one sits at the bottom of the stability order? run w does.